Pm2YMoO8: optimized geometry, GGA+U.

Summary:
mass density	5.41	Mg/m³
total magnetization	1.05	μB/f.u.
crystal system	orthorhombic
electronic total energy	-187.53	eV per cell

Lattice parameters (Å, degrees): 7.2599 7.3694 6.9157 90.00 90.00 90.00
Closest atoms and distances in Å follow each position.
Space group Cmmm (No. 65)
One atom of each set of equivalent atoms:
Pm (0.0000, 0.0000, 0.2500) [4 per cell]  6 O 2.25-2.42
Y (0.0000, 0.5000, 0.0000) [2 per cell]  6 O 2.19-2.40
Mo (0.0000, 0.5000, 0.5000) [2 per cell]  6 O 1.94-1.96
O (0.0000, 0.3217, 0.2896) [8 per cell]  1 Mo 1.96
O (0.1977, 0.0000, 0.0000) [4 per cell]  1 Y 2.19, 2 Pm 2.25
O (0.2332, 0.0000, 0.5000) [4 per cell]  1 Mo 1.94